[1]
First-principles (PBE) data for an optimized crystal structure of Lu3GaN2, as listed in OQMD via LeMat-Bulk.

E_tot in eV/atom: -6.93
Calculated density in g cm⁻³: 10.51
Total magnetization in μB per formula unit: 0.002

a = 3.3729 Å, b = 3.3729 Å, c = 19.9767 Å
α = 90.00°, β = 90.00°, γ = 120.00°
With the nearest neighbours (Å) after each atom.
Sites, in units of the cell vectors:
1 N 0.6667 0.3333 0.5702  6 Lu 2.32-2.40
2 N 0.3333 0.6667 0.4298  6 Lu 2.32-2.40
3 N 0.3333 0.6667 0.0702  6 Lu 2.32-2.40
4 N 0.6667 0.3333 0.9298  6 Lu 2.32-2.40
5 Lu 0.3333 0.6667 0.6331  3 N 2.32
6 Lu 0.6667 0.3333 0.3669  3 N 2.32
7 Lu 0.6667 0.3333 0.1331  3 N 2.32
8 Lu 0.0000 0.0000 0.0000  6 N 2.40
9 Lu 0.0000 0.0000 0.5000  6 N 2.40
10 Lu 0.3333 0.6667 0.8669  3 N 2.32
11 Ga 0.0000 0.0000 0.2500  6 Lu 3.04, 6 Ga 3.37
12 Ga 0.0000 0.0000 0.7500  6 Lu 3.04, 6 Ga 3.37



[2]
First-principles (PBE) data for an optimized crystal structure of Lu2Nb4Ga3N3, as listed in OQMD via LeMat-Bulk.

E_tot in eV/atom: -7.85
Calculated density in g cm⁻³: 8.86
Total magnetization in μB per formula unit: 0.001

a = 5.5533 Å, b = 5.5533 Å, c = 13.9826 Å
α = 90.14°, β = 101.41°, γ = 119.70°
With the nearest neighbours (Å) after each atom.
Sites, in units of the cell vectors:
1 Ga 0.6353 0.4160 0.7498  4 Ga 2.79-2.80, 4 Nb 2.80-2.82
2 Ga 0.6973 0.9473 0.7500  4 Ga 2.79-2.80, 4 Nb 2.80-2.81
3 Ga 0.3027 0.0527 0.2500  4 Ga 2.79-2.80, 4 Nb 2.80-2.81
4 Ga 0.8338 0.1144 0.2498  4 Ga 2.79-2.80, 4 Nb 2.80-2.82
5 Ga 0.3647 0.5840 0.2502  4 Ga 2.79-2.80, 4 Nb 2.80-2.82
6 Ga 0.1662 0.8856 0.7502  4 Ga 2.79-2.80, 4 Nb 2.80-2.82
7 N 0.6568 0.8146 0.0000  4 Nb 2.16-2.23, 2 Lu 2.30-2.31
8 N 0.0000 0.0000 0.5000  4 Nb 2.15-2.16, 2 Lu 2.40
9 N 0.3145 0.6568 0.4999  4 Nb 2.16-2.23, 2 Lu 2.30-2.31
10 N 0.3432 0.1854 0.0000  4 Nb 2.16-2.23, 2 Lu 2.30-2.31
11 N 0.0000 0.5000 0.0000  4 Nb 2.15-2.16, 2 Lu 2.40
12 N 0.6855 0.3432 0.5001  4 Nb 2.16-2.23, 2 Lu 2.30-2.31
13 Nb 0.3877 0.0288 0.5810  3 N 2.15-2.23
14 Nb 0.2793 0.3046 0.4189  3 N 2.16-2.22
15 Nb 0.7207 0.6954 0.5811  3 N 2.16-2.22
16 Nb 0.6144 0.1397 0.9189  3 N 2.16-2.22
17 Nb 0.9478 0.8067 0.9190  3 N 2.15-2.23
18 Nb 0.0522 0.1933 0.0810  3 N 2.15-2.23
19 Nb 0.3856 0.8603 0.0811  3 N 2.16-2.22
20 Nb 0.6123 0.9712 0.4190  3 N 2.15-2.23
21 Lu 0.9277 0.6244 0.3906  3 N 2.30-2.40
22 Lu 0.2662 0.4629 0.8906  3 N 2.30-2.40
23 Lu 0.7338 0.5371 0.1094  3 N 2.30-2.40
24 Lu 0.0723 0.3756 0.6094  3 N 2.30-2.40



[3]
First-principles (PBE) data for an optimized crystal structure of LuGaNO, as listed in OQMD via LeMat-Bulk.

Energy above the lowest structure with this stoichiometry in meV per atom: 84.6
E_tot in eV/atom: -6.65
Calculated density in g cm⁻³: 7.84
Total magnetization in μB per formula unit: 0.000

a = 3.8091 Å, b = 5.2749 Å, c = 5.7949 Å
α = 90.00°, β = 90.00°, γ = 90.00°
With the nearest neighbours (Å) after each atom.
Sites, in units of the cell vectors:
1 N 0.0000 0.3693 0.6350  2 Ga 1.97-1.99
2 N 0.0000 0.8693 0.3650  2 Ga 1.97-1.99
3 Ga 0.0000 0.9969 0.6851  2 N 1.97-1.99, 2 O 2.15
4 Ga 0.0000 0.4969 0.3149  2 N 1.97-1.99, 2 O 2.15
5 O 0.5000 0.8999 0.8313  2 Ga 2.15, 2 Lu 2.16-2.18
6 O 0.5000 0.3999 0.1687  2 Ga 2.15, 2 Lu 2.16-2.18
7 Lu 0.5000 0.4879 0.8048  2 O 2.16-2.18, 2 N 2.23
8 Lu 0.5000 0.9879 0.1952  2 O 2.16-2.18, 2 N 2.23



[4]
First-principles (PBE) data for an optimized crystal structure of LuGaNO, as listed in OQMD via LeMat-Bulk.

Energy above the lowest structure with this stoichiometry in meV per atom: 0.0
E_tot in eV/atom: -6.74
Calculated density in g cm⁻³: 8.73
Total magnetization in μB per formula unit: 0.000

a = 4.1805 Å, b = 4.8037 Å, c = 5.2026 Å
α = 90.00°, β = 90.00°, γ = 90.00°
With the nearest neighbours (Å) after each atom.
Sites, in units of the cell vectors:
1 Lu 0.0000 0.4523 0.2747  2 O 2.22, 3 N 2.27-2.45
2 Lu 0.0000 0.9523 0.7253  2 O 2.22, 3 N 2.27-2.45
3 O 0.5000 0.3907 0.1433  2 Ga 2.00-2.08, 2 Lu 2.22
4 O 0.5000 0.8907 0.8567  2 Ga 2.00-2.08, 2 Lu 2.22
5 Ga 0.5000 0.4685 0.7648  2 O 2.00-2.08, 2 N 2.11
6 Ga 0.5000 0.9685 0.2352  2 O 2.00-2.08, 2 N 2.11
7 N 0.0000 0.4425 0.7102  2 Ga 2.11, 2 Lu 2.27-2.36
8 N 0.0000 0.9425 0.2898  2 Ga 2.11, 2 Lu 2.27-2.36



[5]
First-principles (PBE) data for an optimized crystal structure of LuGaNO, as listed in OQMD via LeMat-Bulk.

Energy above the lowest structure with this stoichiometry in meV per atom: 188.9
E_tot in eV/atom: -6.55
Calculated density in g cm⁻³: 8.35
Total magnetization in μB per formula unit: 0.000

a = 3.7985 Å, b = 3.7985 Å, c = 7.5682 Å
α = 90.00°, β = 90.00°, γ = 90.00°
With the nearest neighbours (Å) after each atom.
Sites, in units of the cell vectors:
1 O 0.7500 0.2500 0.0000  4 Lu 2.16
2 O 0.2500 0.7500 0.0000  4 Lu 2.16
3 Ga 0.7500 0.2500 0.5000  4 N 2.17
4 Ga 0.2500 0.7500 0.5000  4 N 2.17
5 N 0.2500 0.2500 0.6397  4 Ga 2.17
6 N 0.7500 0.7500 0.3603  4 Ga 2.17
7 Lu 0.2500 0.2500 0.1372  4 O 2.16
8 Lu 0.7500 0.7500 0.8628  4 O 2.16



[6]
First-principles (PBE) data for an optimized crystal structure of LuGaNO, as listed in OQMD via LeMat-Bulk.

Energy above the lowest structure with this stoichiometry in meV per atom: 70.6
E_tot in eV/atom: -6.66
Calculated density in g cm⁻³: 7.98
Total magnetization in μB per formula unit: 0.002

a = 6.5059 Å, b = 7.2521 Å, c = 4.8469 Å
α = 90.00°, β = 90.00°, γ = 90.00°
With the nearest neighbours (Å) after each atom.
Sites, in units of the cell vectors:
1 N 0.0838 0.8708 0.5487  1 Ga 2.00, 1 Lu 2.20
2 N 0.5838 0.1292 0.5487  1 Ga 2.00, 1 Lu 2.20
3 N 0.4162 0.8708 0.0487  1 Ga 2.00, 1 Lu 2.20
4 N 0.9162 0.1292 0.0487  1 Ga 2.00, 1 Lu 2.20
5 Lu 0.9208 0.1426 0.5201  1 O 2.12, 3 N 2.20-2.29
6 Lu 0.5792 0.1426 0.0201  1 O 2.12, 3 N 2.20-2.29
7 Lu 0.0792 0.8574 0.0201  1 O 2.12, 3 N 2.20-2.29
8 Lu 0.4208 0.8574 0.5201  1 O 2.12, 3 N 2.20-2.29
9 O 0.4895 0.5815 0.6337  2 Ga 1.87-1.96
10 O 0.9895 0.4185 0.6337  2 Ga 1.87-1.96
11 O 0.0105 0.5815 0.1337  2 Ga 1.87-1.96
12 O 0.5105 0.4185 0.1337  2 Ga 1.87-1.96
13 Ga 0.4055 0.3510 0.5000  2 O 1.87-1.96, 1 N 2.00
14 Ga 0.9055 0.6490 0.5000  2 O 1.87-1.96, 1 N 2.00
15 Ga 0.5945 0.6490 0.0000  2 O 1.87-1.96, 1 N 2.00
16 Ga 0.0945 0.3510 0.0000  2 O 1.87-1.96, 1 N 2.00



[7]
First-principles (PBE) data for an optimized crystal structure of LuGaNO, as listed in OQMD via LeMat-Bulk.

Energy above the lowest structure with this stoichiometry in meV per atom: 47.9
E_tot in eV/atom: -6.69
Calculated density in g cm⁻³: 9.05
Total magnetization in μB per formula unit: 0.000

a = 4.7678 Å, b = 4.7678 Å, c = 4.4322 Å
α = 90.00°, β = 90.00°, γ = 90.00°
With the nearest neighbours (Å) after each atom.
Sites, in units of the cell vectors:
1 Lu 0.7500 0.2500 0.5000  2 O 2.22, 4 N 2.38
2 Lu 0.2500 0.7500 0.5000  2 O 2.22, 4 N 2.38
3 O 0.2500 0.7500 0.0000  2 Lu 2.22, 4 Ga 2.38
4 O 0.7500 0.2500 0.0000  2 Lu 2.22, 4 Ga 2.38
5 N 0.2500 0.2500 0.5105  2 Ga 2.18-2.25, 4 Lu 2.38
6 N 0.7500 0.7500 0.4895  2 Ga 2.18-2.25, 4 Lu 2.38
7 Ga 0.2500 0.2500 0.0018  2 N 2.18-2.25, 4 O 2.38
8 Ga 0.7500 0.7500 0.9982  2 N 2.18-2.25, 4 O 2.38



[8]
First-principles (PBE) data for an optimized crystal structure of Lu4GaSN2, as listed in OQMD via LeMat-Bulk.

E_tot in eV/atom: -6.73
Calculated density in g cm⁻³: 10.02
Total magnetization in μB per formula unit: 0.011

a = 3.4559 Å, b = 3.4559 Å, c = 13.2937 Å
α = 90.00°, β = 90.00°, γ = 120.00°
With the nearest neighbours (Å) after each atom.
Sites, in units of the cell vectors:
1 Lu 0.0000 0.0000 0.1383  3 N 2.34
2 Lu 0.3333 0.6667 0.3315  3 N 2.40
3 Lu 0.0000 0.0000 0.8617  3 N 2.34
4 Lu 0.3333 0.6667 0.6685  3 N 2.40
5 N 0.6667 0.3333 0.7692  6 Lu 2.34-2.40
6 N 0.6667 0.3333 0.2308  6 Lu 2.34-2.40
7 S 0.3333 0.6667 0.0000  6 Lu 2.71
8 Ga 0.0000 0.0000 0.5000  6 Lu 3.00